Entry from Alexandria: a relaxed InSnNO2 crystal (GGA-PBE).

Structure (POSCAR):
```
InSnNO2
1.0
4.0989 0.0000 0.0000
0.0000 4.0989 0.0000
0.0000 0.0000 4.2588
In Sn N O
1 1 1 2
Direct
0.0000 0.0000 0.0000 In
0.5000 0.5000 0.5000 Sn
0.5000 0.5000 0.0000 N
0.0000 0.5000 0.5000 O
0.5000 0.0000 0.5000 O
```

Formation energy (no corrections) ... -0.242 eV/atom